This record from the Alexandria database describes a geometry-optimized KNiF3 structure. The functional is GGA+U.

Lattice parameters (Å, degrees): 4.0069 6.1632 5.7882 90.00 98.27 90.00
Fractional coordinates of all 10 atoms:
K1 0.1062 0.2500 0.4330
K2 0.8938 0.7500 0.5670
Ni1 0.4959 0.7500 0.0187
Ni2 0.5041 0.2500 0.9813
F1 0.0010 0.7500 0.0359
F2 0.4440 0.5132 0.7606
F3 0.4440 0.9868 0.7606
F4 0.5560 0.0132 0.2394
F5 0.5560 0.4868 0.2394
F6 0.9990 0.2500 0.9641

Values from the calculation:
For the final energy, the calculation gives -42.54 eV per cell. For the magnetization, the calculation gives 2.00 μB/f.u. The space group is No. 11.